(1)
VASP calculation (PBE-GGA) on VCd2Pd8 after structural relaxation.

The structure in extended XYZ format:
```
11
Lattice="4.068 -5.415 0.000 4.068 5.415 0.000 0.000 0.000 4.233" Properties=species:S:1:pos:R:3 pbc="T T T"
V 0.000 0.000 0.000
Cd 4.068 1.379 2.116
Cd 4.068 -1.379 2.116
Pd 1.361 1.376 2.116
Pd 4.068 2.951 0.000
Pd 1.361 -1.376 2.116
Pd 2.620 0.000 0.000
Pd 5.515 0.000 0.000
Pd 6.775 1.376 2.116
Pd 4.068 -2.951 0.000
Pd 6.775 -1.376 2.116
```

Computed properties:
The calculation puts the final energy at -53.21 eV/cell. The space group is Cmmm (65). The magnetic moment comes out at 0.22 μB per cell. As for the formation enthalpy at 0 K: -69.6 kJ/mol of formula units. As for the polymorph energy (0 for the lowest one): 0.1058 eV per atom. For the volume, the calculation gives 186.47 Å³/cell.

---

(2)
VASP calculation (PBE-GGA) on V2CdPd2 after structural relaxation.

The structure in extended XYZ format:
```
5
Lattice="-1.985 1.985 5.324 1.985 -1.985 5.324 1.985 1.985 -5.324" Properties=species:S:1:pos:R:3 pbc="T T T"
V 0.000 0.000 0.975
V 0.000 0.000 9.672
Cd 0.000 0.000 5.324
Pd 1.985 0.000 2.662
Pd 0.000 1.985 2.662
```

Computed properties:
The calculation puts the final energy at -28.56 eV/cell. The space group is I4/mmm (139). The magnetic moment comes out at 1.41 μB per cell. As for the formation enthalpy at 0 K: 94.2 kJ/mol of formula units. For the volume, the calculation gives 83.93 Å³/cell.

---

(3)
VASP calculation (PBE-GGA) on VCd4Pd15 after structural relaxation.

The structure in extended XYZ format:
```
20
Lattice="4.006 0.000 0.000 0.000 4.006 0.000 0.000 0.000 20.103" Properties=species:S:1:pos:R:3 pbc="T T T"
V 0.000 0.000 0.000
Cd 0.000 0.000 3.932
Cd 0.000 0.000 8.001
Cd 0.000 0.000 12.101
Cd 0.000 0.000 16.171
Pd 0.000 2.003 1.826
Pd 0.000 2.003 5.965
Pd 0.000 2.003 10.051
Pd 0.000 2.003 14.138
Pd 0.000 2.003 18.276
Pd 2.003 0.000 1.826
Pd 2.003 0.000 5.965
Pd 2.003 0.000 10.051
Pd 2.003 0.000 14.138
Pd 2.003 0.000 18.276
Pd 2.003 2.003 0.000
Pd 2.003 2.003 3.895
Pd 2.003 2.003 8.020
Pd 2.003 2.003 12.083
Pd 2.003 2.003 16.208
```

Computed properties:
The calculation puts the final energy at -95.74 eV/cell. The space group is P4/mmm (123). The magnetic moment comes out at 0.00 μB per cell. As for the formation enthalpy at 0 K: -489.4 kJ/mol of formula units. For the volume, the calculation gives 322.54 Å³/cell.

---

(4)
VASP calculation (PBE-GGA) on VCdPd14 after structural relaxation.

The structure in extended XYZ format:
```
16
Lattice="5.641 0.000 0.000 0.000 5.641 0.000 0.000 0.000 7.773" Properties=species:S:1:pos:R:3 pbc="T T T"
V 0.000 0.000 0.000
Cd 2.820 2.820 0.000
Pd 0.000 0.000 3.886
Pd 0.000 2.820 0.000
Pd 0.000 2.820 3.886
Pd 1.376 1.376 1.914
Pd 1.376 1.376 5.859
Pd 1.376 4.265 1.914
Pd 1.376 4.265 5.859
Pd 2.820 0.000 0.000
Pd 2.820 0.000 3.886
Pd 2.820 2.820 3.886
Pd 4.265 1.376 1.914
Pd 4.265 1.376 5.859
Pd 4.265 4.265 1.914
Pd 4.265 4.265 5.859
```

Computed properties:
The calculation puts the final energy at -84.72 eV/cell. The space group is P4/mmm (123). The magnetic moment comes out at 0.23 μB per cell. As for the formation enthalpy at 0 K: -192.0 kJ/mol of formula units. For the volume, the calculation gives 247.32 Å³/cell.

---

(5)
VASP calculation (PBE-GGA) on VCdPd3 after structural relaxation.

The structure in extended XYZ format:
```
5
Lattice="4.901 0.000 0.000 0.000 4.901 0.000 0.000 0.000 4.901" Properties=species:S:1:pos:R:3 pbc="T T T"
V 0.000 0.000 0.000
Cd 2.450 2.450 2.450
Pd 0.000 2.450 2.450
Pd 2.450 0.000 2.450
Pd 2.450 2.450 0.000
```

Computed properties:
The calculation puts the final energy at -20.17 eV/cell. The space group is Pm-3m (221). The magnetic moment comes out at 3.45 μB per cell. As for the formation enthalpy at 0 K: 525.3 kJ/mol of formula units. As for the polymorph energy (0 for the lowest one): 0.5492 eV per atom. For the volume, the calculation gives 117.71 Å³/cell.

---

(6)
VASP calculation (PBE-GGA) on V2CdPd7 after structural relaxation.

The structure in extended XYZ format:
```
10
Lattice="3.585 -6.293 0.000 3.585 6.293 0.000 0.000 0.000 4.266" Properties=species:S:1:pos:R:3 pbc="T T T"
V 3.585 3.839 0.000
V 3.585 -3.839 0.000
Cd 3.585 0.000 2.133
Pd 0.000 0.000 0.000
Pd 2.222 1.492 0.000
Pd 3.585 2.744 2.133
Pd 2.222 -1.492 0.000
Pd 4.948 1.492 0.000
Pd 3.585 -2.744 2.133
Pd 4.948 -1.492 0.000
```

Computed properties:
The calculation puts the final energy at -52.72 eV/cell. The space group is Cmmm (65). The magnetic moment comes out at 1.94 μB per cell. As for the formation enthalpy at 0 K: 268.1 kJ/mol of formula units. For the volume, the calculation gives 192.54 Å³/cell.